Record 1
The following is a DFT calculation (PBE-GGA) of crystalline CaAc14Sm at its relaxed geometry.

a b c (Å): 7.9337 7.9337 11.2215
angles (deg): 90.00 90.00 90.00
Fractional coordinates of all 16 atoms:
Ca: 0.8751 0.1249 0.0000
Ac: 0.3749 0.6251 0.5000
Ac: 0.8750 0.1250 0.5000
Ac: 0.8741 0.6240 0.0000
Ac: 0.8757 0.6258 0.5000
Ac: 0.3760 0.1259 0.0000
Ac: 0.3742 0.1243 0.5000
Ac: 0.6219 0.8719 0.7522
Ac: 0.6219 0.8719 0.2478
Ac: 0.1281 0.3781 0.7522
Ac: 0.1281 0.3781 0.2478
Ac: 0.1280 0.8720 0.7530
Ac: 0.1280 0.8720 0.2470
Ac: 0.6220 0.3780 0.7513
Ac: 0.6220 0.3780 0.2487
Sm: 0.3751 0.6249 0.0000

## Properties
Symmetry   Amm2 (38)
ρ   7.9 Mg/m³
Fermi-level density of states   26.2 states/eV per cell

Record 2
The following is a DFT calculation (PBE-GGA) of crystalline Ca3Ac3Sm at its relaxed geometry.

a b c (Å): 6.2345 10.4242 10.4242
angles (deg): 120.00 90.00 90.00
Fractional coordinates of all 14 atoms:
Ca: 0.7500 0.7552 0.9441
Ca: 0.7500 0.1890 0.2448
Ca: 0.7500 0.0559 0.8110
Ca: 0.2500 0.2448 0.0559
Ca: 0.2500 0.8110 0.7552
Ca: 0.2500 0.9441 0.1890
Ac: 0.7500 0.8993 0.3827
Ac: 0.7500 0.4834 0.1007
Ac: 0.7500 0.6173 0.5166
Ac: 0.2500 0.1007 0.6173
Ac: 0.2500 0.5166 0.8993
Ac: 0.2500 0.3827 0.4834
Sm: 0.7500 0.3333 0.6667
Sm: 0.2500 0.6667 0.3333

## Properties
Symmetry   P6_3/m (176)
ρ   5.4 Mg/m³
Fermi-level density of states   21.1 states/eV per cell

Record 3
The following is a DFT calculation (PBE-GGA) of crystalline CaAc8Sm5 at its relaxed geometry.

a b c (Å): 9.1655 9.1655 9.1655
angles (deg): 111.08 106.29 111.08
Fractional coordinates of all 14 atoms:
Ca: 0.2500 0.5000 0.7500
Ac: 0.1628 0.7331 0.0775
Ac: 0.9225 0.0853 0.6556
Ac: 0.7307 0.2545 0.3345
Ac: 0.6655 0.3961 0.9200
Ac: 0.5238 0.6039 0.2693
Ac: 0.5703 0.9147 0.8372
Ac: 0.3444 0.2669 0.4297
Ac: 0.0800 0.7455 0.4762
Sm: 0.0328 0.3027 0.1280
Sm: 0.8720 0.9048 0.1748
Sm: 0.8252 0.6973 0.7301
Sm: 0.5000 0.0000 0.5000
Sm: 0.2699 0.0952 0.9672

## Properties
Symmetry   I-4 (82)
ρ   7.3 Mg/m³
Fermi-level density of states   22.6 states/eV per cell

Record 4
The following is a DFT calculation (PBE-GGA) of crystalline CaAc8Sm3 at its relaxed geometry.

a b c (Å): 6.0162 9.3062 9.5532
angles (deg): 91.44 108.35 90.00
Fractional coordinates of all 12 atoms:
Ca: 0.1849 0.7618 0.3698
Ac: 0.4798 0.7937 0.9597
Ac: 0.3364 0.0787 0.6729
Ac: 0.9891 0.0529 0.9782
Ac: 0.1707 0.3132 0.3413
Ac: 0.8320 0.7549 0.6640
Ac: 0.9971 0.5258 0.9941
Ac: 0.5298 0.2790 0.0596
Ac: 0.6713 0.0105 0.3426
Sm: 0.3526 0.4956 0.7053
Sm: 0.8055 0.3291 0.6111
Sm: 0.6490 0.5745 0.2980

## Properties
Symmetry   Cm (8)
ρ   7.5 Mg/m³
Fermi-level density of states   17.9 states/eV per cell

| no. | total moment (μB per formula unit) | total energy (eV/atom) |
| --- | --- | --- |
| 1 | 0.0 | -3.998 |
| 2 | 0.0 | -3.253 |
| 3 | 0.0 | -3.936 |
| 4 | 0.0 | -3.997 |